CaMn2P4O14: optimized geometry, PBE with a Hubbard U.

Properties
polymorph energy (0 for the lowest one)	103	kJ/mol of formula units
E	-0.5351	Ry per atom

abc: 5.0568 6.9046 9.0796
angles: 102.68 103.56 104.48
Space group P1 (No. 1)
Inequivalent atoms, fractional coordinates:
1 Ca 0.0000 0.0000 0.0000
2 Mn 0.3616 0.6416 0.8792
3 Mn 0.9412 0.1705 0.6159
4 P 0.4129 0.2536 0.4100
5 P 0.5355 0.1941 0.8740
6 P 0.8014 0.6583 0.6383
7 P 0.9253 0.6086 0.1143
8 O 0.0211 0.5411 0.6886
9 O 0.0601 0.6523 0.2852
10 O 0.1237 0.6841 0.0156
11 O 0.2316 0.2037 0.5172
12 O 0.2559 0.2065 0.2380
13 O 0.2934 0.2915 0.8317
14 O 0.4316 0.0009 0.9275
15 O 0.5759 0.5061 0.4758
16 O 0.6487 0.6938 0.7672
17 O 0.6508 0.1484 0.4320
18 O 0.6834 0.7114 0.0709
19 O 0.6970 0.1516 0.7558
20 O 0.7751 0.3555 0.0335
21 O 0.9422 0.8649 0.6177